Compound: VIBrO2
Source: Alexandria
Functional: PBE with a Hubbard U
Structure: relaxed

The structure belongs to space group P4/mmm (No. 123); the cell edges are 3.938, 3.938 and 6.033 Å and the angles 90.00°, 90.00° and 90.00°. The distinct sites, in fractional coordinates, are V at (0.000, 0.000, 0.000), I at (0.000, 0.000, 0.500), Br at (0.500, 0.500, 0.500) and O at (0.000, 0.500, 0.000).

The final energy comes out at -4.618 eV per atom. The excess energy over the best structure of this formula in the dataset is 0.000 eV per atom. The value obtained for the density of states at the Fermi level is 0.393 states/eV per atom.


Compound: VIBrO2
Source: Alexandria
Functional: PBE with a Hubbard U
Structure: relaxed

The structure belongs to space group P4/mmm (No. 123); the cell edges are 4.002, 4.002 and 6.744 Å and the angles 90.00°, 90.00° and 90.00°. The distinct sites, in fractional coordinates, are V at (0.000, 0.000, 0.000), I at (0.500, 0.500, 0.000), Br at (0.500, 0.500, 0.500) and O at (0.000, 0.500, 0.500).

The final energy comes out at -3.332 eV per atom. The excess energy over the best structure of this formula in the dataset is 1.286 eV per atom. The value obtained for the density of states at the Fermi level is 0.380 states/eV per atom.


Compound: WI2BrO
Source: Alexandria
Functional: PBE with a Hubbard U
Structure: relaxed

The structure belongs to space group P4/mmm (No. 123); the cell edges are 5.941, 5.941 and 3.879 Å and the angles 90.00°, 90.00° and 90.00°. The distinct sites, in fractional coordinates, are W at (0.000, 0.000, 0.000), I at (0.000, 0.500, 0.000), Br at (0.500, 0.500, 0.500) and O at (0.000, 0.000, 0.500).

The final energy comes out at -3.638 eV per atom. The excess energy over the best structure of this formula in the dataset is 0.000 eV per atom. The value obtained for the density of states at the Fermi level is 0.881 states/eV per atom.


Compound: WIBrO2
Source: Alexandria
Functional: PBE with a Hubbard U
Structure: relaxed

The structure belongs to space group P4/mmm (No. 123); the cell edges are 4.068, 4.068 and 7.068 Å and the angles 90.00°, 90.00° and 90.00°. The distinct sites, in fractional coordinates, are W at (0.000, 0.000, 0.000), I at (0.500, 0.500, 0.000), Br at (0.500, 0.500, 0.500) and O at (0.000, 0.500, 0.500).

The final energy comes out at -3.150 eV per atom. The excess energy over the best structure of this formula in the dataset is 1.567 eV per atom. The value obtained for the density of states at the Fermi level is 0.506 states/eV per atom.


Compound: WIBrO2
Source: Alexandria
Functional: PBE with a Hubbard U
Structure: relaxed

The structure belongs to space group P4/mmm (No. 123); the cell edges are 4.055, 4.055 and 6.038 Å and the angles 90.00°, 90.00° and 90.00°. The distinct sites, in fractional coordinates, are W at (0.000, 0.000, 0.000), I at (0.000, 0.000, 0.500), Br at (0.500, 0.500, 0.500) and O at (0.000, 0.500, 0.000).

The final energy comes out at -4.717 eV per atom. The excess energy over the best structure of this formula in the dataset is 0.000 eV per atom. The value obtained for the density of states at the Fermi level is 0.514 states/eV per atom.


Compound: WI2BrO
Source: Alexandria
Functional: PBE with a Hubbard U
Structure: relaxed

The structure belongs to space group P4/mmm (No. 123); the cell edges are 6.280, 6.280 and 3.815 Å and the angles 90.00°, 90.00° and 90.00°. The distinct sites, in fractional coordinates, are W at (0.000, 0.000, 0.000), I at (0.000, 0.500, 0.500), Br at (0.500, 0.500, 0.500) and O at (0.500, 0.500, 0.000).

The final energy comes out at -2.085 eV per atom. The excess energy over the best structure of this formula in the dataset is 1.553 eV per atom. The value obtained for the density of states at the Fermi level is 0.874 states/eV per atom.